<1>
DFT (PBE with a Hubbard U) results for crystalline Fe3O2F2 at its relaxed geometry.

Properties
As for the total magnetic moment: 1.714 μB per atom.

Unit cell a=5.937 b=5.855 c=5.707 alpha=90.00 beta=116.53 gamma=90.00
Space group P2_1/c (No. 14)
Symmetry-distinct sites (fractional):
1 Fe 0.000 0.000 0.000 [2 per cell]
2 Fe 0.347 0.056 0.722 [4 per cell]
3 O 0.334 0.130 0.071 [4 per cell]
4 F 0.135 0.656 0.911 [4 per cell]

<2>
DFT (PBE with a Hubbard U) results for crystalline Fe3O2F2 at its relaxed geometry.

Properties
As for the total magnetic moment: 1.709 μB per atom.

Unit cell a=6.409 b=3.235 c=8.562 alpha=90.00 beta=90.00 gamma=90.00
Space group Pmma (No. 51)
Symmetry-distinct sites (fractional):
1 Fe 0.000 0.000 0.000 [2 per cell]
2 Fe 0.250 0.000 0.319 [2 per cell]
3 Fe 0.250 0.500 0.723 [2 per cell]
4 O 0.032 0.000 0.770 [4 per cell]
5 F 0.250 0.500 0.007 [2 per cell]
6 F 0.250 0.500 0.481 [2 per cell]

<3>
DFT (PBE with a Hubbard U) results for crystalline Fe3O2F2 at its relaxed geometry.

Properties
As for the total magnetic moment: 1.714 μB per atom.

Unit cell a=6.235 b=5.322 c=5.760 alpha=90.00 beta=116.73 gamma=90.00
Space group P2_1/c (No. 14)
Symmetry-distinct sites (fractional):
1 Fe 0.000 0.000 0.000 [2 per cell]
2 Fe 0.257 0.010 0.710 [4 per cell]
3 O 0.094 0.188 0.370 [4 per cell]
4 F 0.383 0.660 0.590 [4 per cell]

<1> comes first in stability; the runner-up is 23 meV/atom higher.

<1>
DFT (PBE with a Hubbard U) results for crystalline FePbOF2 at its relaxed geometry.

Properties
As for the total magnetic moment: 0.799 μB per atom.

Unit cell a=5.836 b=5.836 c=8.306 alpha=90.00 beta=90.00 gamma=90.00
Space group I4/mcm (No. 140)
Symmetry-distinct sites (fractional):
1 Fe 0.000 0.000 0.000 [4 per cell]
2 Pb 0.000 0.500 0.250 [4 per cell]
3 O 0.000 0.000 0.250 [4 per cell]
4 F 0.176 0.324 0.000 [8 per cell]

<2>
DFT (PBE with a Hubbard U) results for crystalline FePbOF2 at its relaxed geometry.

Properties
As for the total magnetic moment: 0.968 μB per atom.

Unit cell a=4.616 b=4.616 c=4.348 alpha=90.00 beta=90.00 gamma=90.00
Space group P4/mmm (No. 123)
Symmetry-distinct sites (fractional):
1 Fe 0.000 0.000 0.000 [1 per cell]
2 Pb 0.500 0.500 0.500 [1 per cell]
3 O 0.500 0.500 0.000 [1 per cell]
4 F 0.000 0.500 0.500 [2 per cell]

<1> comes first in stability; the runner-up is 948 meV/atom higher.

<1>
DFT (PBE with a Hubbard U) results for crystalline RbFeOF2 at its relaxed geometry.

Properties
As for the total magnetic moment: 1.000 μB per atom.

Unit cell a=4.317 b=4.317 c=3.806 alpha=90.00 beta=90.00 gamma=90.00
Space group P4/mmm (No. 123)
Symmetry-distinct sites (fractional):
1 Rb 0.000 0.000 0.000 [1 per cell]
2 Fe 0.500 0.500 0.500 [1 per cell]
3 O 0.500 0.500 0.000 [1 per cell]
4 F 0.000 0.500 0.500 [2 per cell]

<2>
DFT (PBE with a Hubbard U) results for crystalline RbFeOF2 at its relaxed geometry.

Properties
As for the total magnetic moment: 0.817 μB per atom.

Unit cell a=4.830 b=4.830 c=4.403 alpha=90.00 beta=90.00 gamma=90.00
Space group P4/mmm (No. 123)
Symmetry-distinct sites (fractional):
1 Rb 0.000 0.000 0.000 [1 per cell]
2 Fe 0.500 0.500 0.500 [1 per cell]
3 O 0.000 0.000 0.500 [1 per cell]
4 F 0.000 0.500 0.000 [2 per cell]

<1> comes first in stability; the runner-up is 1823 meV/atom higher.

<1>
DFT (PBE with a Hubbard U) results for crystalline FeRhOF2 at its relaxed geometry.

Properties
As for the total magnetic moment: 0.788 μB per atom.

Unit cell a=4.342 b=4.342 c=3.791 alpha=90.00 beta=90.00 gamma=90.00
Space group P4/mmm (No. 123)
Symmetry-distinct sites (fractional):
1 Fe 0.000 0.000 0.000 [1 per cell]
2 Rh 0.500 0.500 0.500 [1 per cell]
3 O 0.500 0.500 0.000 [1 per cell]
4 F 0.000 0.500 0.500 [2 per cell]

<2>
DFT (PBE with a Hubbard U) results for crystalline FeRhOF2 at its relaxed geometry.

Properties
As for the total magnetic moment: 0.982 μB per atom.

Unit cell a=3.967 b=3.967 c=3.953 alpha=90.00 beta=90.00 gamma=90.00
Space group P4/mmm (No. 123)
Symmetry-distinct sites (fractional):
1 Fe 0.000 0.000 0.000 [1 per cell]
2 Rh 0.500 0.500 0.500 [1 per cell]
3 O 0.000 0.000 0.500 [1 per cell]
4 F 0.000 0.500 0.000 [2 per cell]

<2> comes first in stability; the runner-up is 149 meV/atom higher.

<1>
DFT (PBE with a Hubbard U) results for crystalline FeSbOF2 at its relaxed geometry.

Properties
As for the total magnetic moment: 0.784 μB per atom.

Unit cell a=4.106 b=4.106 c=4.100 alpha=90.00 beta=90.00 gamma=90.00
Space group P4/mmm (No. 123)
Symmetry-distinct sites (fractional):
1 Fe 0.000 0.000 0.000 [1 per cell]
2 Sb 0.500 0.500 0.500 [1 per cell]
3 O 0.000 0.000 0.500 [1 per cell]
4 F 0.000 0.500 0.000 [2 per cell]

<2>
DFT (PBE with a Hubbard U) results for crystalline FeSbOF2 at its relaxed geometry.

Properties
As for the total magnetic moment: 0.986 μB per atom.

Unit cell a=4.554 b=4.554 c=4.277 alpha=90.00 beta=90.00 gamma=90.00
Space group P4/mmm (No. 123)
Symmetry-distinct sites (fractional):
1 Fe 0.000 0.000 0.000 [1 per cell]
2 Sb 0.500 0.500 0.500 [1 per cell]
3 O 0.500 0.500 0.000 [1 per cell]
4 F 0.000 0.500 0.500 [2 per cell]

<1> comes first in stability; the runner-up is 320 meV/atom higher.

<1>
DFT (PBE with a Hubbard U) results for crystalline SrFeOF2 at its relaxed geometry.

Properties
As for the total magnetic moment: 0.799 μB per atom.

Unit cell a=4.518 b=4.518 c=4.873 alpha=90.00 beta=90.00 gamma=90.00
Space group P4/mmm (No. 123)
Symmetry-distinct sites (fractional):
1 Sr 0.000 0.000 0.000 [1 per cell]
2 Fe 0.500 0.500 0.500 [1 per cell]
3 O 0.000 0.000 0.500 [1 per cell]
4 F 0.000 0.500 0.000 [2 per cell]

<2>
DFT (PBE with a Hubbard U) results for crystalline SrFeOF2 at its relaxed geometry.

Properties
As for the total magnetic moment: 0.800 μB per atom.

Unit cell a=4.166 b=4.166 c=4.023 alpha=90.00 beta=90.00 gamma=90.00
Space group P4/mmm (No. 123)
Symmetry-distinct sites (fractional):
1 Sr 0.000 0.000 0.000 [1 per cell]
2 Fe 0.500 0.500 0.500 [1 per cell]
3 O 0.500 0.500 0.000 [1 per cell]
4 F 0.000 0.500 0.500 [2 per cell]

<2> comes first in stability; the runner-up is 1012 meV/atom higher.